No. 1
Here is a relaxed Sm8Cu2Ru crystal from Alexandria via LeMat-Bulk. Energies are from PBE.

Its density of states at the Fermi level is 1.02 states/eV per atom. As for the total magnetization: 0.000 μB per atom. Its density is 7.936 g cm⁻³. The energy comes out at -112.845 eV/cell.

The space group is C2/m (No. 12) and the conventional cell measures 17.575, 5.183 and 6.846 Å, with angles of 90.00, 106.20 and 90.00 degrees. The asymmetric unit holds Sm at (0.032, 0.000, 0.293), Sm at (0.090, 0.500, 0.943), Sm at (0.166, 0.500, 0.480), Sm at (0.198, 0.000, 0.827), Cu at (0.184, 0.000, 0.225) and Ru at (0.000, 0.500, 0.500).

---

No. 2
Here is a relaxed Sm2CuRu crystal from Alexandria via LeMat-Bulk. Energies are from PBE.

Its density of states at the Fermi level is 0.74 states/eV per atom. As for the total magnetization: 0.000 μB per atom. Its density is 8.855 g cm⁻³. The energy comes out at -23.728 eV/cell.

The space group is P4/mmm (No. 123) and the conventional cell measures 3.481, 3.481 and 7.199 Å, with angles of 90.00, 90.00 and 90.00 degrees. The asymmetric unit holds Sm at (0.000, 0.000, 0.239), Cu at (0.500, 0.500, 0.500) and Ru at (0.500, 0.500, 0.000).

---

No. 3
Here is a relaxed Sm2CuRu2 crystal from Alexandria via LeMat-Bulk. Energies are from PBE.

Its density of states at the Fermi level is 0.82 states/eV per atom. As for the total magnetization: 0.000 μB per atom. Its density is 9.171 g cm⁻³. The energy comes out at -131.397 eV/cell.

The space group is C2/c (No. 15) and the conventional cell measures 9.115, 5.552 and 8.351 Å, with angles of 90.00, 103.93 and 90.00 degrees. The asymmetric unit holds Sm at (0.151, 0.139, 0.153), Cu at (0.000, 0.362, 0.750) and Ru at (0.133, 0.369, 0.506).

---

No. 4
Here is a relaxed Sm3Cu3Ru2 crystal from Alexandria via LeMat-Bulk. Energies are from PBE.

Its density of states at the Fermi level is 0.66 states/eV per atom. As for the total magnetization: 0.000 μB per atom. Its density is 8.648 g cm⁻³. The energy comes out at -184.525 eV/cell.

The space group is Cmcm (No. 63) and the conventional cell measures 4.198, 10.163 and 15.190 Å, with angles of 90.00, 90.00 and 90.00 degrees. The asymmetric unit holds Sm at (0.000, 0.102, 0.098), Sm at (0.000, 0.386, 0.250), Cu at (0.000, 0.326, 0.750), Cu at (0.000, 0.392, 0.040) and Ru at (0.000, 0.196, 0.610).

---

No. 5
Here is a relaxed Sm2CuRu3 crystal from Alexandria via LeMat-Bulk. Energies are from PBE.

Its density of states at the Fermi level is 0.98 states/eV per atom. As for the total magnetization: 0.088 μB per atom. Its density is 10.160 g cm⁻³. The energy comes out at -85.276 eV/cell.

The space group is C2/m (No. 12) and the conventional cell measures 9.224, 5.336 and 5.398 Å, with angles of 90.00, 124.80 and 90.00 degrees. The asymmetric unit holds Sm at (0.122, 0.000, 0.366), Cu at (0.000, 0.500, 0.500), Ru at (0.000, 0.500, 0.000) and Ru at (0.250, 0.250, 0.000).

---

No. 6
Here is a relaxed Sm2Cu3Ru crystal from Alexandria via LeMat-Bulk. Energies are from PBE.

Its density of states at the Fermi level is 0.54 states/eV per atom. As for the total magnetization: 0.000 μB per atom. Its density is 8.634 g cm⁻³. The energy comes out at -64.148 eV/cell.

The space group is Cm (No. 8) and the conventional cell measures 10.149, 4.255 and 7.090 Å, with angles of 90.00, 131.90 and 90.00 degrees. The asymmetric unit holds Sm at (0.000, 0.000, 0.000), Sm at (0.090, 0.000, 0.590), Cu at (0.212, 0.500, 0.409), Cu at (0.216, 0.500, 0.026), Cu at (0.385, 0.000, 0.196) and Ru at (0.401, 0.000, 0.613).

---

No. 7
Here is a relaxed Sm2CuRu crystal from Alexandria via LeMat-Bulk. Energies are from PBE.

Its density of states at the Fermi level is 0.59 states/eV per atom. As for the total magnetization: 0.000 μB per atom. Its density is 8.518 g cm⁻³. The energy comes out at -47.748 eV/cell.

The space group is P2_1/m (No. 11) and the conventional cell measures 5.818, 4.189 and 7.942 Å, with angles of 90.00, 110.36 and 90.00 degrees. The asymmetric unit holds Sm at (0.214, 0.250, 0.437), Sm at (0.223, 0.250, 0.922), Cu at (0.354, 0.750, 0.214) and Ru at (0.355, 0.750, 0.718).

---

No. 8
Here is a relaxed Sm2CuRu crystal from Alexandria via LeMat-Bulk. Energies are from PBE.

Its density of states at the Fermi level is 1.00 states/eV per atom. As for the total magnetization: 0.000 μB per atom. Its density is 8.970 g cm⁻³. The energy comes out at -94.923 eV/cell.

The space group is Fmmm (No. 69) and the conventional cell measures 6.995, 7.005 and 7.032 Å, with angles of 90.00, 90.00 and 90.00 degrees. The asymmetric unit holds Sm at (0.250, 0.250, 0.250), Cu at (0.000, 0.000, 0.000) and Ru at (0.000, 0.000, 0.500).